# 1
Here is Be2CuAs after structural relaxation from the Alexandria database. Energies are from PBE-GGA.

a = 3.8248 Å, b = 3.8248 Å, c = 3.3465 Å
α = 90.00°, β = 90.00°, γ = 102.12°
Fractional positions:
Be 0.0000 0.5000 0.0000
Be 0.5000 0.0000 0.0000
Cu 0.0000 0.0000 0.5000
As 0.5000 0.5000 0.5000

Summary:
The total energy comes out at -3.80 eV/atom. For the formation energy from the elements, the calculation gives 246.5 meV/atom. Its space-group type is Cmmm. Its volume is 47.9 Å³ per cell.


# 2
Here is CeGaPt after structural relaxation from the Alexandria database. Energies are from PBE-GGA.

a = 4.6417 Å, b = 4.6417 Å, c = 4.6417 Å
α = 60.00°, β = 60.00°, γ = 60.00°
Fractional positions:
Ce 0.0000 0.0000 0.0000
Ga 0.5000 0.5000 0.5000
Pt 0.7500 0.7500 0.7500

Summary:
The total energy comes out at -5.82 eV/atom. For the formation energy from the elements, the calculation gives -816.4 meV/atom. Its space-group type is F-43m. Its volume is 70.7 Å³ per cell.


# 3
Here is CaTlCrSe2 after structural relaxation from the Alexandria database. Energies are from PBE-GGA.

a = 5.3827 Å, b = 5.3827 Å, c = 5.7099 Å
α = 90.00°, β = 90.00°, γ = 90.00°
Fractional positions:
Ca 0.0000 0.0000 0.0000
Tl 0.0000 0.0000 0.5000
Cr 0.5000 0.5000 0.5000
Se 0.0000 0.5000 0.0000
Se 0.5000 0.0000 0.0000

Summary:
The total energy comes out at -3.32 eV/atom. Its space-group type is P4/mmm. Its volume is 165.4 Å³ per cell.


# 4
Here is SrTlRh2 after structural relaxation from the Alexandria database. Energies are from PBE-GGA.

a = 4.7028 Å, b = 4.7028 Å, c = 5.8930 Å
α = 113.57°, β = 113.57°, γ = 60.03°
Fractional positions:
Sr 0.0000 0.0000 0.0000
Tl 0.5000 0.5000 0.5000
Rh 0.1854 0.1854 0.5563
Rh 0.8146 0.8146 0.4437

Summary:
The total energy comes out at -4.85 eV/atom. For the formation energy from the elements, the calculation gives -162.1 meV/atom. Its space-group type is C2/m. The energy relative to the lowest polymorph listed for this composition comes out at 0.0 meV/atom. Its volume is 100.1 Å³ per cell.


# 5
Here is Nd4Dy after structural relaxation from the Alexandria database. Energies are from PBE-GGA.

a = 5.8409 Å, b = 5.8409 Å, c = 5.8409 Å
α = 90.00°, β = 90.00°, γ = 90.00°
Fractional positions:
Nd 0.0000 0.0000 0.0000
Nd 0.0000 0.5000 0.5000
Nd 0.5000 0.0000 0.5000
Nd 0.5000 0.5000 0.0000
Dy 0.5000 0.5000 0.5000

Summary:
The total energy comes out at -4.10 eV/atom. For the formation energy from the elements, the calculation gives 629.9 meV/atom. Its space-group type is Pm-3m. The energy relative to the lowest polymorph listed for this composition comes out at 618.7 meV/atom. Its volume is 199.3 Å³ per cell.


# 6
Here is Fe2RuPb after structural relaxation from the Alexandria database. Energies are from PBE-GGA.

a = 4.4156 Å, b = 4.4156 Å, c = 4.4156 Å
α = 60.00°, β = 60.00°, γ = 60.00°
Fractional positions:
Fe 0.0000 0.0000 0.0000
Fe 0.2500 0.2500 0.2500
Ru 0.7500 0.7500 0.7500
Pb 0.5000 0.5000 0.5000

Summary:
The total energy comes out at -7.07 eV/atom. For the formation energy from the elements, the calculation gives 403.3 meV/atom. Its space-group type is F-43m. Its volume is 60.9 Å³ per cell.